(1)
CrNi3: relaxed, PBEsol.

Cell lengths 2.452, 8.013, 4.262 Å; angles 90.00, 90.00, 90.00 degrees
Space group Imm2 (No. 44)
Symmetry-distinct sites (fractional):
Cr 0.000 0.000 0.000 (multiplicity 2)
Ni 0.000 0.250 0.340 (multiplicity 4)
Ni 0.000 0.500 0.003 (multiplicity 2)

Computed properties:
E_form (eV/atom): 0.052

***

(2)
RhPb2: relaxed, PBEsol.

Cell lengths 3.288, 3.288, 12.466 Å; angles 90.00, 90.00, 90.00 degrees
Space group I4/mmm (No. 139)
Symmetry-distinct sites (fractional):
Rh 0.000 0.000 0.000 (multiplicity 2)
Pb 0.000 0.000 0.364 (multiplicity 4)

Computed properties:
E_form (eV/atom): 0.017

***

(3)
KLiIN2: relaxed, PBEsol.

Cell lengths 5.004, 5.004, 6.769 Å; angles 90.00, 90.00, 90.00 degrees
Space group P4/mmm (No. 123)
Symmetry-distinct sites (fractional):
K 0.000 0.000 0.000 (multiplicity 1)
Li 0.500 0.500 0.500 (multiplicity 1)
I 0.000 0.000 0.500 (multiplicity 1)
N 0.000 0.500 0.000 (multiplicity 2)

Computed properties:
Uncorrected formation energy (eV/atom): 1.396

***

(4)
Sr2RePt: relaxed, PBEsol.

Cell lengths 6.988, 8.694, 2.915 Å; angles 90.00, 90.00, 90.00 degrees
Space group Cmmm (No. 65)
Symmetry-distinct sites (fractional):
Sr 0.250 0.250 0.000 (multiplicity 4)
Re 0.000 0.000 0.500 (multiplicity 2)
Pt 0.000 0.500 0.500 (multiplicity 2)

Computed properties:
ΔE to the lowest computed polymorph (eV/atom): 0.280
E_form (eV/atom): 0.600

***

(5)
Mn2ReAs: relaxed, PBEsol.

Cell lengths 8.429, 2.780, 4.386 Å; angles 90.00, 99.27, 90.00 degrees
Space group Cm (No. 8)
Symmetry-distinct sites (fractional):
Mn 0.000 0.000 0.000 (multiplicity 2)
Mn 0.244 0.500 0.291 (multiplicity 2)
Re 0.487 0.000 0.482 (multiplicity 2)
As 0.253 0.000 0.818 (multiplicity 2)

Computed properties:
E_form (eV/atom): 0.162

***

(6)
ReSnAs3: relaxed, PBEsol.

Cell lengths 4.821, 4.821, 4.821 Å; angles 90.00, 90.00, 90.00 degrees
Space group Pm-3m (No. 221)
Symmetry-distinct sites (fractional):
Re 0.000 0.000 0.000 (multiplicity 1)
Sn 0.500 0.500 0.500 (multiplicity 1)
As 0.000 0.000 0.500 (multiplicity 3)

Computed properties:
E_form (eV/atom): 0.566

***

Ordered magnetization results: 0.0, 0.0, 5.0, 0.0, 2.3, 0.0; unit μB per formula unit.